The following is a GGA-PBE calculation of an optimized crystal structure of MgRu2W, from Alexandria via LeMat-Bulk.

Results
The density of states at the Fermi level comes out at 0.797 states/eV per atom. Its crystal system is orthorhombic. The value obtained for the total energy is -8.0829 eV per atom. The spin magnetization comes out at 0.00 μB per formula unit. The formation energy comes out at 192 meV/atom.

Geometry as CIF:
```
data_MgRu2W
_symmetry_space_group_name_H-M 'I m m m'
_symmetry_Int_Tables_number 71
_symmetry_space_group_name_Hall '-I 2 2'
_cell_length_a 3.174
_cell_length_b 4.682
_cell_length_c 8.296
_cell_angle_alpha 90.00
_cell_angle_beta 90.00
_cell_angle_gamma 90.00
loop_
_atom_site_label
_atom_site_fract_x
_atom_site_fract_y
_atom_site_fract_z
_atom_site_occupancy
Mg1 0.000 0.000 0.000 1
Ru1 0.000 0.500 0.237 1
W1 0.000 0.000 0.500 1
```